(1)
An optimized crystal structure of Ho4BiRh. Source: the Alexandria database, functional PBE.

Geometry as POSCAR:
```
Ho4BiRh
1.0
8.202 0.000 0.000
0.000 4.062 0.000
0.000 0.000 19.368
Ho Bi Rh
16 4 4
Direct
0.005 0.250 0.067
0.045 0.750 0.214
0.138 0.750 0.644
0.143 0.750 0.451
0.357 0.250 0.951
0.362 0.250 0.144
0.455 0.250 0.714
0.495 0.750 0.567
0.505 0.250 0.433
0.545 0.750 0.286
0.638 0.750 0.856
0.643 0.750 0.049
0.857 0.250 0.549
0.862 0.250 0.356
0.955 0.250 0.786
0.995 0.750 0.933
0.242 0.250 0.311
0.258 0.750 0.811
0.742 0.250 0.189
0.758 0.750 0.689
0.241 0.250 0.550
0.259 0.750 0.050
0.741 0.250 0.950
0.759 0.750 0.450
```

The total energy comes out at -133.181 eV for the cell shown. The formation energy is -3.75 eV per formula unit. As for the crystal system: orthorhombic.

---

(2)
An optimized crystal structure of HoBiRh2. Source: the Alexandria database, functional PBE.

Geometry as POSCAR:
```
HoBiRh2
1.0
3.523 0.000 0.000
0.000 3.523 0.000
0.000 0.000 6.400
Ho Bi Rh
1 1 2
Direct
0.000 0.000 0.000
0.000 0.000 0.500
0.500 0.500 0.248
0.500 0.500 0.752
```

The total energy comes out at -25.161 eV for the cell shown. The formation energy is -2.00 eV per formula unit. As for the crystal system: tetragonal.

---

(3)
An optimized crystal structure of Ho6Bi2Rh. Source: the Alexandria database, functional PBE.

Geometry as POSCAR:
```
Ho6Bi2Rh
1.0
8.389 0.000 0.000
-4.195 7.265 0.000
0.000 0.000 4.113
Ho Bi Rh
6 2 1
Direct
0.000 0.237 0.000
0.000 0.606 0.500
0.237 0.000 0.000
0.394 0.394 0.500
0.606 0.000 0.500
0.763 0.763 0.000
0.333 0.667 0.000
0.667 0.333 0.000
0.000 0.000 0.500
```

The total energy comes out at -48.176 eV for the cell shown. The formation energy is -5.60 eV per formula unit. As for the crystal system: hexagonal.

---

(4)
An optimized crystal structure of Ho5Bi2Rh. Source: the Alexandria database, functional PBE.

Geometry as POSCAR:
```
Ho5Bi2Rh
1.0
2.943 -4.683 0.000
2.943 4.683 0.000
0.000 0.000 16.391
Ho Bi Rh
10 4 2
Direct
0.062 0.938 0.600
0.062 0.938 0.900
0.251 0.749 0.250
0.401 0.599 0.643
0.401 0.599 0.857
0.599 0.401 0.143
0.599 0.401 0.357
0.749 0.251 0.750
0.938 0.062 0.100
0.938 0.062 0.400
0.281 0.719 0.057
0.281 0.719 0.443
0.719 0.281 0.557
0.719 0.281 0.943
0.163 0.837 0.750
0.837 0.163 0.250
```

The total energy comes out at -82.600 eV for the cell shown. The formation energy is -3.30 eV per formula unit. As for the crystal system: orthorhombic.

---

(5)
An optimized crystal structure of Ho6BiRh. Source: the Alexandria database, functional PBE.

Geometry as POSCAR:
```
Ho6BiRh
1.0
6.820 0.000 0.000
-3.409 5.918 0.000
-3.397 -1.974 6.533
Ho Bi Rh
6 1 1
Direct
0.044 0.081 0.267
0.305 0.723 0.267
0.313 0.537 0.733
0.687 0.463 0.267
0.695 0.277 0.733
0.956 0.919 0.733
0.500 0.000 0.000
0.500 0.500 0.500
```

The total energy comes out at -40.488 eV for the cell shown. The formation energy is -1.79 eV per formula unit. As for the crystal system: triclinic.

---

(6)
An optimized crystal structure of Ho8Bi2Rh. Source: the Alexandria database, functional PBE.

Geometry as POSCAR:
```
Ho8Bi2Rh
1.0
9.472 -2.349 0.000
9.472 2.349 0.000
-0.859 0.000 7.158
Ho Bi Rh
8 2 1
Direct
0.002 0.002 0.229
0.214 0.214 0.350
0.361 0.361 0.954
0.406 0.406 0.482
0.594 0.594 0.518
0.639 0.639 0.046
0.786 0.786 0.650
0.998 0.998 0.771
0.183 0.183 0.787
0.817 0.817 0.213
0.500 0.500 0.000
```

The total energy comes out at -56.405 eV for the cell shown. The formation energy is -4.67 eV per formula unit. As for the crystal system: monoclinic.

---

(7)
An optimized crystal structure of Ho6BiRh2. Source: the Alexandria database, functional PBE.

Geometry as POSCAR:
```
Ho6BiRh2
1.0
-4.679 4.865 5.233
4.679 -4.865 5.233
4.679 4.865 -5.233
Ho Bi Rh
12 2 4
Direct
0.026 0.234 0.792
0.180 0.294 0.474
0.180 0.706 0.887
0.330 0.020 0.690
0.330 0.641 0.310
0.443 0.234 0.208
0.557 0.766 0.792
0.670 0.359 0.690
0.670 0.980 0.310
0.820 0.294 0.113
0.820 0.706 0.526
0.974 0.766 0.208
0.000 0.000 0.000
0.500 0.500 0.000
0.134 0.634 0.500
0.338 0.000 0.338
0.662 0.000 0.662
0.866 0.366 0.500
```

The total energy comes out at -103.311 eV for the cell shown. The formation energy is -5.61 eV per formula unit. As for the crystal system: orthorhombic.

---

(8)
An optimized crystal structure of Ho7Bi2Rh2. Source: the Alexandria database, functional PBE.

Geometry as POSCAR:
```
Ho7Bi2Rh2
1.0
-1.884 8.158 4.911
1.884 -8.158 4.911
1.884 8.158 -4.911
Ho Bi Rh
7 2 2
Direct
0.000 0.000 0.000
0.304 0.436 0.867
0.317 0.635 0.682
0.569 0.436 0.133
0.627 0.280 0.346
0.934 0.280 0.654
0.954 0.635 0.318
0.271 0.771 0.500
0.675 0.675 0.000
0.183 0.944 0.239
0.706 0.944 0.761
```

The total energy comes out at -61.627 eV for the cell shown. The formation energy is -7.12 eV per formula unit. As for the crystal system: orthorhombic.

---

(9)
An optimized crystal structure of Ho2BiRh. Source: the Alexandria database, functional PBE.

Geometry as POSCAR:
```
Ho2BiRh
1.0
3.556 0.000 0.000
0.000 3.556 0.000
0.000 0.000 7.719
Ho Bi Rh
2 1 1
Direct
0.000 0.000 0.210
0.000 0.000 0.790
0.500 0.500 0.500
0.500 0.500 0.000
```

The total energy comes out at -23.297 eV for the cell shown. The formation energy is -2.91 eV per formula unit. As for the crystal system: tetragonal.

---

(10)
An optimized crystal structure of Ho5Bi4Rh. Source: the Alexandria database, functional PBE.

Geometry as POSCAR:
```
Ho5Bi4Rh
1.0
-4.868 4.868 3.136
4.868 -4.868 3.136
4.868 4.868 -3.136
Ho Bi Rh
5 4 1
Direct
0.000 0.000 0.000
0.346 0.718 0.818
0.528 0.346 0.628
0.718 0.900 0.372
0.900 0.528 0.182
0.035 0.826 0.612
0.214 0.423 0.388
0.423 0.035 0.209
0.826 0.214 0.791
0.562 0.562 0.000
```

The total energy comes out at -53.000 eV for the cell shown. The formation energy is -7.24 eV per formula unit. As for the crystal system: tetragonal.

---

(11)
An optimized crystal structure of HoBiRh4. Source: the Alexandria database, functional PBE.

Geometry as POSCAR:
```
HoBiRh4
1.0
0.000 3.778 3.778
3.778 0.000 3.778
3.778 3.778 0.000
Ho Bi Rh
1 1 4
Direct
0.000 0.000 0.000
0.750 0.750 0.750
0.375 0.375 0.375
0.375 0.375 0.874
0.375 0.874 0.375
0.874 0.375 0.375
```

The total energy comes out at -40.200 eV for the cell shown. The formation energy is -2.34 eV per formula unit. As for the crystal system: cubic.

---

(12)
An optimized crystal structure of Ho6Bi2Rh. Source: the Alexandria database, functional PBE.

Geometry as POSCAR:
```
Ho6Bi2Rh
1.0
6.453 0.000 0.000
0.000 7.896 0.000
-6.084 0.000 10.316
Ho Bi Rh
12 4 2
Direct
0.098 0.189 0.461
0.098 0.311 0.961
0.322 0.677 0.459
0.322 0.823 0.959
0.381 0.021 0.249
0.381 0.479 0.749
0.619 0.521 0.251
0.619 0.979 0.751
0.678 0.177 0.041
0.678 0.323 0.541
0.902 0.689 0.039
0.902 0.811 0.539
0.148 0.115 0.747
0.148 0.385 0.247
0.852 0.615 0.753
0.852 0.885 0.253
0.500 0.000 0.500
0.500 0.500 0.000
```

The total energy comes out at -94.525 eV for the cell shown. The formation energy is -4.68 eV per formula unit. As for the crystal system: monoclinic.

---

Which of these has the highest total energy? Ho2BiRh

---

The highest total energy belongs to which entry? Ho2BiRh

---

Which of these has the highest total energy? Ho2BiRh